--- P ---
Entry from Alexandria via LeMat-Bulk: a relaxed structure of Sm3DyS4 (PBE).

## Properties
V = 22.35 A^3/atom
Magnetization = 0.00 Bohr magnetons per cell

Geometry as extended XYZ:
```
8
Lattice="3.9696 0.0000 0.0000 0.0000 5.6245 0.0000 0.0000 0.0000 8.0089" Properties=species:S:1:pos:R:3 pbc="T T T"
Sm 0.0000 0.0000 0.0000
Sm 1.9848 2.8123 1.9932
Sm 1.9848 2.8123 6.0157
Dy 0.0000 0.0000 4.0044
S 0.0000 2.8123 0.0000
S 0.0000 2.8123 4.0044
S 1.9848 0.0000 2.0587
S 1.9848 0.0000 5.9502
```

***

--- Q ---
Entry from Alexandria via LeMat-Bulk: a relaxed structure of Sm3DyS4 (PBE).

## Properties
V = 22.37 A^3/atom
Magnetization = 0.00 Bohr magnetons per cell

Geometry as extended XYZ:
```
8
Lattice="5.6357 0.0000 0.0000 0.0000 5.6357 0.0000 0.0000 0.0000 5.6357" Properties=species:S:1:pos:R:3 pbc="T T T"
Sm 0.0000 0.0000 2.8179
Sm 0.0000 2.8179 0.0000
Sm 2.8179 0.0000 0.0000
Dy 2.8179 2.8179 2.8179
S 0.0000 0.0000 0.0000
S 0.0000 2.8179 2.8179
S 2.8179 0.0000 2.8179
S 2.8179 2.8179 0.0000
```

***

Comparing the structures above, P comes out on top by 1.0 kJ/mol of atoms.